20
Lattice="-2.493 2.383 -4.516 -0.186 -4.919 -2.493 -7.413 -6.253 0.793" Properties=species:S:1:pos:R:3 comment="PrMgMo2O6 (GGA+U, optimized geometry)" dft_energy_ev_per_atom=-7.2927 pbc="T T T"
Mg -6.651 -7.714 -2.503
Mg -3.970 -3.608 -4.757
O -7.390 -7.302 -4.567
O -8.194 -5.943 -2.400
O -4.339 -2.959 -2.527
O -3.830 -0.205 -3.695
O -5.548 -5.095 -3.760
O -1.451 -2.342 -3.449
O -7.153 -7.679 -0.425
O -2.833 -4.988 -3.423
O -4.621 -7.015 -1.783
O -5.715 -2.385 -4.930
O -2.966 -1.928 -5.896
O -6.053 -4.749 -0.612
Pr -2.397 -2.358 -1.333
Pr -7.612 -4.043 -3.668
Mo -5.592 -1.323 -3.026
Mo -4.467 -4.952 -2.043
Mo -8.015 -5.677 -0.304
Mo -1.931 -0.707 -4.560